Entry 1:
A relaxed TlCr2Co crystal, computed with PBE-GGA.

Summary:
Electronic total energy (eV per atom): -6.6240
Excess energy over the best structure of this formula in the dataset (eV/atom): 0.084
Crystal system: tetragonal
Formation enthalpy at 0 K (eV/atom): 0.556

Lattice parameters (Å, degrees): 2.9659 2.9659 7.1181 90.00 90.00 90.00
Fractional coordinates of all 4 atoms:
1 Co 0.5000 0.5000 0.7500
2 Cr 0.0000 0.0000 0.9463
3 Cr 0.0000 0.0000 0.5537
4 Tl 0.5000 0.5000 0.2500

=====

Entry 2:
A relaxed GaRe2TePb crystal, computed with PBE-GGA.

Summary:
E_form (uncorrected) (meV per atom): 1863
Electronic total energy (eV per atom): -5.0920
Crystal system: tetragonal

Lattice parameters (Å, degrees): 4.9527 5.3303 4.9527 90.00 90.00 90.00
Fractional coordinates of all 5 atoms:
1 Pb 0.5000 0.5000 0.5000
2 Re 0.0000 0.0000 0.5000
3 Re 0.5000 0.0000 0.0000
4 Te 0.0000 0.0000 0.0000
5 Ga 0.0000 0.5000 0.0000

=====

Entry 3:
A relaxed AcLaGe4 crystal, computed with PBE-GGA.

Summary:
Electronic total energy (eV per atom): -5.2151
Excess energy over the best structure of this formula in the dataset (eV/atom): 0.000
Crystal system: orthorhombic
Formation enthalpy at 0 K (eV/atom): -0.631

Lattice parameters (Å, degrees): 4.2690 6.3545 6.3545 86.89 70.37 70.37
Fractional coordinates of all 6 atoms:
1 Ac 0.4999 0.0001 0.0001
2 La 0.5002 0.4998 0.4998
3 Ge 0.1632 0.5791 0.0945
4 Ge 0.8368 0.9053 0.4211
5 Ge 0.8368 0.4211 0.9053
6 Ge 0.1632 0.0945 0.5791

=====

Entry 4:
A relaxed LiDySiPt crystal, computed with PBE-GGA.

Summary:
E_form (uncorrected) (meV per atom): -820
Electronic total energy (eV per atom): -5.3146
Crystal system: cubic

Lattice parameters (Å, degrees): 4.5634 4.5634 4.5634 60.00 60.00 60.00
Fractional coordinates of all 4 atoms:
1 Si 0.0000 0.0000 0.0000
2 Li 0.2500 0.2500 0.2500
3 Pt 0.7500 0.7500 0.7500
4 Dy 0.5000 0.5000 0.5000

=====

Entry 5:
A relaxed LaHfAs2O crystal, computed with PBE-GGA.

Summary:
E_form (uncorrected) (meV per atom): -1611
Electronic total energy (eV per atom): -7.4386
Crystal system: tetragonal

Lattice parameters (Å, degrees): 3.8943 3.8943 14.5503 90.00 90.00 90.00
Fractional coordinates of all 10 atoms:
1 La 0.5000 0.0000 0.5896
2 La 0.0000 0.5000 0.4104
3 Hf 0.5000 0.0000 0.0928
4 Hf 0.0000 0.5000 0.9072
5 As 0.0000 0.5000 0.7265
6 As 0.0000 0.5000 0.0992
7 As 0.5000 0.0000 0.9008
8 As 0.5000 0.0000 0.2735
9 O 0.0000 0.0000 0.5000
10 O 0.5000 0.5000 0.5000

=====

Entry 6:
A relaxed SnBi3Pb crystal, computed with PBE-GGA.

Summary:
Electronic total energy (eV per atom): -3.8042
Excess energy over the best structure of this formula in the dataset (eV/atom): 0.000
Crystal system: monoclinic
Formation enthalpy at 0 K (eV/atom): 0.067

Lattice parameters (Å, degrees): 6.1632 6.9674 15.4043 90.00 90.14 90.00
Fractional coordinates of all 20 atoms:
1 Sn 0.2567 0.3748 0.0795
2 Sn 0.7566 0.1252 0.5795
3 Sn 0.7433 0.6252 0.9205
4 Sn 0.2434 0.8748 0.4205
5 Bi 0.2465 0.2292 0.2829
6 Bi 0.7465 0.2708 0.7829
7 Bi 0.7535 0.7708 0.7171
8 Bi 0.2535 0.7292 0.2171
9 Bi 0.2499 0.4433 0.4710
10 Bi 0.7499 0.0567 0.9710
11 Bi 0.7501 0.5567 0.5290
12 Bi 0.2501 0.9433 0.0290
13 Bi 0.2438 0.5646 0.8933
14 Bi 0.7438 0.9354 0.3933
15 Bi 0.7562 0.4354 0.1067
16 Bi 0.2562 0.0646 0.6067
17 Pb 0.2457 0.1164 0.8194
18 Pb 0.7457 0.3836 0.3194
19 Pb 0.7543 0.8836 0.1806
20 Pb 0.2543 0.6164 0.6806

=====

Entry 7:
A relaxed ThAl6 crystal, computed with PBE-GGA.

Summary:
Electronic total energy (eV per atom): -4.4332
Crystal system: tetragonal
Formation enthalpy at 0 K (eV/atom): -0.165

Lattice parameters (Å, degrees): 5.9710 5.9710 7.9260 90.00 90.00 90.00
Fractional coordinates of all 14 atoms:
1 Th 0.5000 0.0000 0.0000
2 Th 0.0000 0.5000 0.0000
3 Al 0.5000 0.5000 0.1630
4 Al 0.0000 0.0000 0.1630
5 Al 0.0000 0.0000 0.8370
6 Al 0.5000 0.5000 0.8370
7 Al 0.8293 0.6707 0.3587
8 Al 0.3293 0.8293 0.3587
9 Al 0.6707 0.1707 0.3587
10 Al 0.1707 0.3293 0.3587
11 Al 0.6707 0.8293 0.6413
12 Al 0.1707 0.6707 0.6413
13 Al 0.8293 0.3293 0.6413
14 Al 0.3293 0.1707 0.6413

=====

Entry 8:
A relaxed CaTi2Ga2 crystal, computed with PBE-GGA.

Summary:
Electronic total energy (eV per atom): -4.9948
Excess energy over the best structure of this formula in the dataset (eV/atom): 0.030
Crystal system: tetragonal
Formation enthalpy at 0 K (eV/atom): -0.226

Lattice parameters (Å, degrees): 8.0600 8.0600 2.9610 90.00 90.00 90.00
Fractional coordinates of all 10 atoms:
1 Ca 0.0000 0.0000 0.0000
2 Ca 0.5000 0.5000 0.0000
3 Ga 0.3309 0.8309 0.0000
4 Ga 0.8309 0.6691 0.0000
5 Ga 0.6691 0.1691 0.0000
6 Ga 0.1691 0.3309 0.0000
7 Ti 0.1256 0.6256 0.5000
8 Ti 0.6256 0.8744 0.5000
9 Ti 0.8744 0.3744 0.5000
10 Ti 0.3744 0.1256 0.5000